Record 1
Here is a crystal of Ba2MgTe relaxed with PBEsol from Alexandria. Energies are from SCAN.

Cell and atoms, written as POSCAR:
```
Ba2MgTe
1.0
4.964 0.000 0.000
0.000 4.964 0.000
0.000 0.000 12.223
Ba Mg Te
4 2 2
Direct
0.000 0.000 0.000
0.000 0.500 0.250
0.500 0.000 0.750
0.500 0.500 0.500
0.000 0.000 0.500
0.500 0.500 0.000
0.000 0.500 0.750
0.500 0.000 0.250
```

Output
As for the calculated volume: 150.6 Å³/f.u. The value obtained for the uncorrected formation energy is -702 meV/atom. Its space group is No. 119.



Record 2
Here is a crystal of Sc3ZnAs relaxed with PBEsol from Alexandria. Energies are from SCAN.

Cell and atoms, written as POSCAR:
```
Sc3ZnAs
1.0
4.875 0.000 0.000
0.000 4.875 0.000
0.000 0.000 4.875
Sc Zn As
3 1 1
Direct
0.000 0.000 0.500
0.000 0.500 0.000
0.500 0.000 0.000
0.000 0.000 0.000
0.500 0.500 0.500
```

Output
As for the calculated volume: 115.9 Å³/f.u. The energy relative to the elements is -0.09 eV/atom. Its space group is No. 221.



Record 3
Here is a crystal of Be2CdTe relaxed with PBEsol from Alexandria. Energies are from SCAN.

Cell and atoms, written as POSCAR:
```
Be2CdTe
1.0
3.559 0.000 0.000
0.000 3.874 0.000
0.000 0.000 5.539
Be Cd Te
2 1 1
Direct
0.000 0.000 0.188
0.000 0.000 0.812
0.500 0.500 0.000
0.500 0.000 0.500
```

Output
As for the calculated volume: 76.4 Å³/f.u. The value obtained for the uncorrected formation energy is 400 meV/atom. Its relative energy among the computed polymorphs is 0 meV/atom. Its space group is No. 47.



Record 4
Here is a crystal of Zr5Au3 relaxed with PBEsol from Alexandria. Energies are from SCAN.

Cell and atoms, written as POSCAR:
```
Zr5Au3
1.0
-5.466 5.466 2.671
5.466 -5.466 2.671
5.466 5.466 -2.671
Zr Au
10 6
Direct
0.080 0.780 0.860
0.220 0.080 0.300
0.250 0.750 0.500
0.280 0.580 0.860
0.420 0.280 0.700
0.580 0.720 0.300
0.720 0.420 0.140
0.750 0.250 0.500
0.780 0.920 0.700
0.920 0.220 0.140
0.164 0.336 0.500
0.250 0.250 0.000
0.336 0.836 0.172
0.664 0.164 0.828
0.750 0.750 0.000
0.836 0.664 0.500
```

Output
As for the calculated volume: 159.6 Å³/f.u. Its relative energy among the computed polymorphs is 1 meV/atom. The energy relative to the elements is -0.66 eV/atom. Its space group is No. 140.



Record 5
Here is a crystal of Al2FeHg relaxed with PBEsol from Alexandria. Energies are from SCAN.

Cell and atoms, written as POSCAR:
```
Al2FeHg
1.0
3.786 0.000 0.000
0.000 3.786 0.000
0.000 0.000 8.178
Al Fe Hg
4 2 2
Direct
0.000 0.000 0.000
0.000 0.500 0.250
0.500 0.000 0.750
0.500 0.500 0.500
0.000 0.000 0.500
0.500 0.500 0.000
0.000 0.500 0.750
0.500 0.000 0.250
```

Output
As for the calculated volume: 58.6 Å³/f.u. The energy relative to the elements is 0.01 eV/atom. Its space group is No. 119.



Record 6
Here is a crystal of Li2Ni3SbO8 relaxed with PBEsol from Alexandria. Energies are from SCAN.

Cell and atoms, written as POSCAR:
```
Li2Ni3SbO8
1.0
2.894 1.671 4.883
-2.894 1.671 4.883
0.000 -3.342 4.883
Li Ni Sb O
2 3 1 8
Direct
0.129 0.129 0.129
0.871 0.871 0.871
0.000 0.500 0.500
0.500 0.000 0.500
0.500 0.500 0.000
0.500 0.500 0.500
0.232 0.288 0.723
0.273 0.273 0.273
0.277 0.768 0.712
0.288 0.723 0.232
0.712 0.277 0.768
0.723 0.232 0.288
0.727 0.727 0.727
0.768 0.712 0.277
```

Output
As for the calculated volume: 141.7 Å³/f.u. The value obtained for the uncorrected formation energy is -1580 meV/atom. Its relative energy among the computed polymorphs is 4 meV/atom. Its space group is No. 148.



Record 7
Here is a crystal of Tl3Cd relaxed with PBEsol from Alexandria. Energies are from SCAN.

Cell and atoms, written as POSCAR:
```
Tl3Cd
1.0
6.545 0.000 0.000
0.000 9.966 0.000
0.000 0.000 3.244
Tl Cd
6 2
Direct
0.000 0.000 0.000
0.250 0.250 0.500
0.250 0.750 0.500
0.500 0.500 0.000
0.750 0.250 0.500
0.750 0.750 0.500
0.000 0.500 0.000
0.500 0.000 0.000
```

Output
As for the calculated volume: 105.8 Å³/f.u. The energy relative to the elements is 0.07 eV/atom. Its space group is No. 65.



Record 8
Here is a crystal of ScCuTe2I relaxed with PBEsol from Alexandria. Energies are from SCAN.

Cell and atoms, written as POSCAR:
```
ScCuTe2I
1.0
5.095 0.000 0.000
0.000 5.095 0.000
0.000 0.000 5.185
Sc Cu Te I
1 1 2 1
Direct
0.000 0.000 0.000
0.500 0.500 0.500
0.000 0.500 0.500
0.500 0.000 0.500
0.500 0.500 0.000
```

Output
As for the calculated volume: 134.6 Å³/f.u. The value obtained for the uncorrected formation energy is 65 meV/atom. Its space group is No. 123.



Record 9
Here is a crystal of Be2VRu2 relaxed with PBEsol from Alexandria. Energies are from SCAN.

Cell and atoms, written as POSCAR:
```
Be2VRu2
1.0
6.128 0.000 0.000
0.000 6.128 0.000
0.000 0.000 2.876
Be V Ru
4 2 4
Direct
0.121 0.379 0.000
0.379 0.879 0.000
0.621 0.121 0.000
0.879 0.621 0.000
0.000 0.000 0.000
0.500 0.500 0.000
0.174 0.674 0.500
0.326 0.174 0.500
0.674 0.826 0.500
0.826 0.326 0.500
```

Output
As for the calculated volume: 54.0 Å³/f.u. The energy relative to the elements is -0.49 eV/atom. Its space group is No. 127.



Record 10
Here is a crystal of RbAlRe2Bi relaxed with PBEsol from Alexandria. Energies are from SCAN.

Cell and atoms, written as POSCAR:
```
RbAlRe2Bi
1.0
5.153 0.000 0.000
0.000 5.153 0.000
0.000 0.000 5.612
Rb Al Re Bi
1 1 2 1
Direct
0.000 0.000 0.000
0.500 0.500 0.000
0.000 0.500 0.500
0.500 0.000 0.500
0.500 0.500 0.500
```

Output
As for the calculated volume: 149.0 Å³/f.u. The energy relative to the elements is 2.35 eV/atom. Its space group is No. 123.



Record 11
Here is a crystal of ZrAu5 relaxed with PBEsol from Alexandria. Energies are from SCAN.

Cell and atoms, written as POSCAR:
```
ZrAu5
1.0
4.987 0.000 0.000
-2.493 4.319 0.000
0.000 0.000 4.867
Zr Au
1 5
Direct
0.000 0.000 0.000
0.000 0.672 0.500
0.328 0.328 0.500
0.333 0.667 0.000
0.667 0.333 0.000
0.672 0.000 0.500
```

Output
As for the calculated volume: 104.8 Å³/f.u. The energy relative to the elements is -0.42 eV/atom. Its space group is No. 189.



Record 12
Here is a crystal of LaGa2Pt2 relaxed with PBEsol from Alexandria. Energies are from SCAN.

Cell and atoms, written as POSCAR:
```
LaGa2Pt2
1.0
4.201 0.000 0.000
0.000 4.201 0.000
0.000 0.000 10.647
La Ga Pt
2 4 4
Direct
0.000 0.000 0.000
0.500 0.500 0.500
0.000 0.000 0.380
0.000 0.000 0.620
0.500 0.500 0.120
0.500 0.500 0.880
0.000 0.500 0.250
0.000 0.500 0.750
0.500 0.000 0.250
0.500 0.000 0.750
```

Output
As for the calculated volume: 94.0 Å³/f.u. The energy relative to the elements is -1.06 eV/atom. Its space group is No. 139.